DFT (PBE-GGA) results for crystalline HoTmMg at its relaxed geometry.

Output
* symmetry: P3m1 (156)
* DFT formation energy: 0.153 eV/f.u.
* energy above the lowest structure with this stoichiometry: 104.5 meV per atom

Cell and atoms, written as extended XYZ:
```
3
Lattice="-0.641 2.684 -1.886 -4.700 0.681 2.567 4.468 2.382 1.871" Properties=species:S:1:pos:R:3 pbc="T T T"
Mg 1.202 2.694 1.485
Tm -0.031 0.131 -0.092
Ho -2.044 2.922 1.159
```